Material: Cs2TlP2S6
Method: DFT, PBE-GGA
State: relaxed

Cell: 7.306 7.459 8.569 Å, 115.51 90.00 119.32°
Sites, in units of the cell vectors:
Cs1 0.720 0.439 0.221
Cs2 0.280 0.561 0.779
S1 0.804 0.076 0.806
Tl1 0.500 0.000 0.500
S2 0.196 0.924 0.194
S3 0.214 0.427 0.291
S4 0.786 0.573 0.709
P1 0.038 0.075 0.179
S5 0.728 0.924 0.194
S6 0.272 0.076 0.806
P2 0.962 0.925 0.821

Values from the calculation:
symmetry = C2/m, No. 12
energy relative to the elements, uncorrected = -0.62 eV per atom
crystal system = monoclinic

***

Material: La2Pr4Er3
Method: DFT, PBE-GGA
State: relaxed

Cell: 5.165 6.358 10.955 Å, 72.87 89.98 66.07°
Sites, in units of the cell vectors:
La1 0.334 0.332 0.775
Pr1 0.002 0.996 0.336
Er1 0.665 0.670 0.554
Pr2 0.666 0.668 0.888
Pr3 0.334 0.332 0.112
La2 0.666 0.668 0.225
Er2 0.335 0.330 0.446
Er3 0.000 0.000 0.000
Pr4 0.998 0.004 0.664

Values from the calculation:
symmetry = C2/m, No. 12
crystal system = monoclinic

***

Material: ZrBeGe3
Method: DFT, PBE-GGA
State: relaxed

Cell: 4.492 4.492 4.492 Å, 90.00 90.00 90.00°
Sites, in units of the cell vectors:
Be1 0.000 0.000 0.000
Ge1 0.500 0.000 0.000
Ge2 0.000 0.000 0.500
Zr1 0.500 0.500 0.500
Ge3 0.000 0.500 0.000

Values from the calculation:
symmetry = Pm-3m, No. 221
crystal system = cubic

***

Material: Fe3HW
Method: DFT, PBE-GGA
State: relaxed

Cell: 5.187 5.150 5.142 Å, 90.00 119.71 60.24°
Sites, in units of the cell vectors:
Fe1 0.321 0.057 0.841
Fe2 0.306 0.565 0.333
Fe3 0.813 0.060 0.840
H1 0.813 0.311 0.587
Fe4 0.813 0.060 0.333
H2 0.813 0.311 0.087
W1 0.276 0.580 0.818
Fe5 0.813 0.562 0.334
Fe6 0.813 0.562 0.840
W2 0.351 0.042 0.355

Values from the calculation:
symmetry = Immm, No. 71
crystal system = orthorhombic

***

Material: LaDy3Tm6Sc2
Method: DFT, PBE-GGA
State: relaxed

Cell: 6.029 6.029 11.579 Å, 94.96 94.96 119.98°
Sites, in units of the cell vectors:
Sc1 0.333 0.667 0.000
Dy1 0.833 0.167 0.500
Tm1 0.747 0.747 0.248
Sc2 0.667 0.333 0.000
Dy2 0.500 0.500 0.500
Tm2 0.916 0.580 0.752
Tm3 0.420 0.084 0.248
Tm4 0.084 0.420 0.248
Tm5 0.253 0.253 0.752
Dy3 0.167 0.833 0.500
La1 0.000 0.000 0.000
Tm6 0.580 0.916 0.752

Values from the calculation:
symmetry = C2/m, No. 12
crystal system = monoclinic

***

Material: Pu2ZnP
Method: DFT, PBE-GGA
State: relaxed

Cell: 3.533 3.533 6.853 Å, 90.00 90.00 90.00°
Sites, in units of the cell vectors:
Pu1 0.000 0.000 0.221
Zn1 0.500 0.500 0.500
P1 0.500 0.500 0.000
Pu2 0.000 0.000 0.779

Values from the calculation:
symmetry = P4/mmm, No. 123
crystal system = tetragonal

***

Material: Nd4Sm2Y7
Method: DFT, PBE-GGA
State: relaxed

Cell: 6.254 9.556 8.081 Å, 75.30 74.98 71.03°
Sites, in units of the cell vectors:
Y1 0.154 0.308 0.076
Y2 0.770 0.539 0.384
Nd1 0.076 0.154 0.540
Nd2 0.924 0.846 0.460
Y3 0.000 0.000 0.000
Y4 0.846 0.692 0.924
Nd3 0.384 0.768 0.694
Y5 0.538 0.077 0.771
Sm1 0.309 0.615 0.152
Nd4 0.616 0.232 0.306
Sm2 0.691 0.385 0.848
Y6 0.462 0.923 0.229
Y7 0.230 0.461 0.616

Values from the calculation:
symmetry = P-1, No. 2
crystal system = triclinic

***

Material: LiZnGeO
Method: DFT, PBE-GGA
State: relaxed

Cell: 2.818 2.969 7.370 Å, 78.66 84.32 68.46°
Sites, in units of the cell vectors:
Ge1 0.691 0.122 0.706
Li1 0.854 0.542 0.042
O1 0.199 0.990 0.911
Zn1 0.197 0.778 0.371

Values from the calculation:
symmetry = P1, No. 1
energy relative to the elements, uncorrected = -0.71 eV per atom
crystal system = triclinic

***

no.,calculated total energy (eV/atom)
1,-4.22
2,-4.71
3,-4.86
4,-8.30
5,-4.81
6,-9.36
7,-5.66
8,-3.91